Material: Mg4Cd2Hg
Method: DFT, PBE-GGA
State: optimized geometry

- Symmetry: No. 63
- ΔE_f: -0.11 eV/atom
- Crystal system: orthorhombic
- Spin magnetization: 0.0 μB per cell

POSCAR file:
```
Mg4Cd2Hg
1.0
2.461 -4.266 0.000
2.461 4.266 0.000
0.000 0.000 14.833
Mg Cd Hg
8 4 2
Direct
0.000 0.000 0.000 Mg
0.000 0.000 0.500 Mg
0.333 0.667 0.646 Mg
0.333 0.667 0.854 Mg
0.334 0.666 0.250 Mg
0.666 0.334 0.750 Mg
0.667 0.333 0.146 Mg
0.667 0.333 0.354 Mg
0.333 0.667 0.054 Cd
0.333 0.667 0.446 Cd
0.667 0.333 0.554 Cd
0.667 0.333 0.946 Cd
0.001 0.999 0.250 Hg
0.999 0.001 0.750 Hg
```